Material: NaCeEuPb
Method: DFT, PBE
State: relaxed

Cell lengths 5.650, 5.650, 5.650 Å; angles 60.00, 60.00, 60.00 degrees
Positions (direct):
Na 0.000 0.000 0.000
Ce 0.750 0.750 0.750
Eu 0.250 0.250 0.250
Pb 0.500 0.500 0.500

Values from the calculation:
VASP energy in eV per atom: -5.44
Energy relative to the elements in eV/atom: -0.1356